[1]
Density functional theory data (PBE) for an optimized crystal structure of CaMg2Al.

ΔH_f (0 K) = 0.76 eV/f.u.
space-group type = I-42d
E_tot = -16.350 eV/cell
magnetization = 0.0 μB per formula unit

CIF file:
```
data_CaMg2Al
_space_group_name_H-M_alt 'P 1'
_space_group_IT_number 1
_cell_length_a 11.2900
_cell_length_b 11.2900
_cell_length_c 11.2900
_cell_angle_alpha 157.11
_cell_angle_beta 157.11
_cell_angle_gamma 32.60
loop_
_space_group_symop_operation_xyz
'x,y,z'
loop_
_atom_site_label
_atom_site_type_symbol
_atom_site_fract_x
_atom_site_fract_y
_atom_site_fract_z
Ca1 Ca 0.0000 0.0000 0.0000
Ca2 Ca 0.7500 0.2500 0.5000
Mg1 Mg 0.1542 0.6250 0.0292
Mg2 Mg 0.3750 0.4042 0.5292
Mg3 Mg 0.5958 0.1250 0.9708
Mg4 Mg 0.8750 0.8458 0.4708
Al1 Al 0.2500 0.7500 0.5000
Al2 Al 0.5000 0.5000 0.0000
```

[2]
Density functional theory data (PBE) for an optimized crystal structure of SrCd2Tc.

distance to the lowest polymorph of the same formula = 0.58 eV per formula unit
ΔH_f (0 K) = 1.94 eV/f.u.
space-group type = P4/mmm
E_tot = -11.942 eV/cell
magnetization = 1.2 μB per formula unit

CIF file:
```
data_SrCd2Tc
_space_group_name_H-M_alt 'P 1'
_space_group_IT_number 1
_cell_length_a 4.5602
_cell_length_b 4.5602
_cell_length_c 4.4370
_cell_angle_alpha 90.00
_cell_angle_beta 90.00
_cell_angle_gamma 90.00
loop_
_space_group_symop_operation_xyz
'x,y,z'
loop_
_atom_site_label
_atom_site_type_symbol
_atom_site_fract_x
_atom_site_fract_y
_atom_site_fract_z
Sr1 Sr 0.0000 0.0000 0.0000
Cd1 Cd 0.0000 0.5000 0.5000
Cd2 Cd 0.5000 0.0000 0.5000
Tc1 Tc 0.5000 0.5000 0.0000
```

[3]
Density functional theory data (PBE) for an optimized crystal structure of BeSnTe3.

distance to the lowest polymorph of the same formula = 0.00 eV per formula unit
formation energy (no corrections) = 0.187 eV/atom
space-group type = Pm-3m
E_tot = -16.218 eV/cell
magnetization = 0.0 μB per formula unit

CIF file:
```
data_BeSnTe3
_space_group_name_H-M_alt 'P 1'
_space_group_IT_number 1
_cell_length_a 5.0752
_cell_length_b 5.0752
_cell_length_c 5.0752
_cell_angle_alpha 90.00
_cell_angle_beta 90.00
_cell_angle_gamma 90.00
loop_
_space_group_symop_operation_xyz
'x,y,z'
loop_
_atom_site_label
_atom_site_type_symbol
_atom_site_fract_x
_atom_site_fract_y
_atom_site_fract_z
Be1 Be 0.0000 0.0000 0.0000
Sn1 Sn 0.5000 0.5000 0.5000
Te1 Te 0.0000 0.0000 0.5000
Te2 Te 0.0000 0.5000 0.0000
Te3 Te 0.5000 0.0000 0.0000
```

Among the records above, which one has the lowest E_tot? CaMg2Al